## K2TiGa2 (GGA-PBE)

Data for an optimized crystal structure of K2TiGa2.

a b c (Å): 7.0774 7.0774 5.9775
angles (deg): 90.00 90.00 90.00
Last column: nearest neighbours and their distance in Å.
Sites, in units of the cell vectors:
K  0.8205  0.3205  0.5000  6 Ga 3.53-3.73, 5 K 3.59-3.68
Ga  0.6334  0.1334  0.0000  1 Ga 2.67, 2 Ti 2.76
K  0.6795  0.8205  0.5000  6 Ga 3.53-3.73, 5 K 3.59-3.68
Ti  0.0000  0.0000  0.0000  4 Ga 2.76
Ga  0.1334  0.3666  0.0000  1 Ga 2.67, 2 Ti 2.76
Ga  0.8666  0.6334  0.0000  1 Ga 2.67, 2 Ti 2.76
Ti  0.5000  0.5000  0.0000  4 Ga 2.76
K  0.3205  0.1795  0.5000  6 Ga 3.53-3.73, 5 K 3.59-3.68
K  0.1795  0.6795  0.5000  6 Ga 3.53-3.73, 5 K 3.59-3.68
Ga  0.3666  0.8666  0.0000  1 Ga 2.67, 2 Ti 2.76

Computed properties:
DOS(E_F)   5.7 states/eV/f.u.
Formation energy from the elements   1.77 eV per formula unit